Dy2ZnIn3: relaxed, PBE-GGA.

Values from the calculation:
E_form = -0.4105 eV per atom
ρ = 8.5 Mg/m³
Excess energy over the best structure of this formula in the dataset = 0 meV per atom
E = -3.53 eV/atom

Cell: 7.1192 9.6814 16.7363 Å, 90.00 90.00 90.00°
Closest atoms and distances in Å follow each position.
Space group Fmmm (No. 69)
Symmetry-distinct sites (fractional):
Dy (0.2495, 0.0000, 0.0000) (multiplicity 8)  10 In 3.28-3.39, 2 Zn 3.31, 2 Dy 3.55-3.57
Dy (0.2500, 0.2500, 0.2500) (multiplicity 8)  8 In 3.27-3.28, 4 Zn 3.31, 2 Dy 3.56
Zn (0.0000, 0.0000, 0.1670) (multiplicity 8)  3 In 2.70-2.71
In (0.0000, 0.0000, 0.3281) (multiplicity 8)  1 Zn 2.70, 2 In 2.87
In (0.0000, 0.2428, 0.0861) (multiplicity 16)  1 Zn 2.71, 2 In 2.87-2.88